Pr2ErPaBi4 | GGA-PBE | relaxed

Computed properties:
formation energy from the elements = -0.69 eV/atom
M_tot = 1.01 μB per cell
calculated total energy = -5.59 eV per atom

```
Pr2ErPaBi4
1.0
4.5433 0.0000 0.0000
0.0000 7.8661 0.1426
0.0000 -2.7425 7.4141
Pr Er Pa Bi
2 1 1 4
Cartesian
2.2717 -1.3712 3.7070
0.0000 2.5618 3.7784
2.2717 3.9331 0.0713
0.0000 0.0000 0.0000
2.2717 1.2939 1.8060
2.2717 3.8297 5.7507
0.0000 -0.0905 5.6952
0.0000 5.2142 1.8615
```